A plane-wave DFT calculation with PBE was carried out for crystalline Rb3SBr6 at its relaxed geometry. Values from VASP.

DFT total energy = -2.615 eV/atom
symmetry = Cmc2_1, No. 36

```
&SYSTEM
  ibrav = 0, nat = 20, ntyp = 3
/
ATOMIC_SPECIES
Rb 85.47 Rb.upf
S 32.06 S.upf
Br 79.90 Br.upf
CELL_PARAMETERS angstrom
7.587 -7.724 0.000
7.587 7.724 0.000
0.000 0.000 8.367
ATOMIC_POSITIONS angstrom
Rb 7.587 6.592 4.183
Rb 3.901 1.842 5.064
Rb 3.901 -1.842 0.881
Rb 11.273 1.842 5.064
Rb 11.273 -1.842 0.881
Rb 7.587 -6.592 0.000
S 7.587 2.731 1.041
S 7.587 -2.731 5.225
Br 2.373 0.672 2.407
Br 5.741 3.794 2.778
Br 2.373 -0.672 6.590
Br 7.587 2.350 7.008
Br 9.433 3.794 2.778
Br 7.587 0.654 1.804
Br 7.587 -0.654 5.988
Br 5.741 -3.794 6.961
Br 7.587 -2.350 2.825
Br 12.801 0.672 2.407
Br 9.433 -3.794 6.961
Br 12.801 -0.672 6.590
```

***

A plane-wave DFT calculation with PBE was carried out for crystalline RbS2Br at its relaxed geometry. Values from VASP.

DFT total energy = -2.767 eV/atom
symmetry = R-3m, No. 166

```
&SYSTEM
  ibrav = 0, nat = 4, ntyp = 3
/
ATOMIC_SPECIES
Rb 85.47 Rb.upf
S 32.06 S.upf
Br 79.90 Br.upf
CELL_PARAMETERS angstrom
2.776 1.603 5.170
-2.776 1.603 5.170
0.000 -3.206 5.170
ATOMIC_POSITIONS angstrom
Rb 0.000 0.000 0.000
S 0.000 0.000 5.292
S 0.000 0.000 10.218
Br 0.000 0.000 7.755
```

***

A plane-wave DFT calculation with PBE was carried out for crystalline Rb5S2Br2 at its relaxed geometry. Values from VASP.

DFT total energy = -3.070 eV/atom
symmetry = Cmce, No. 64

```
&SYSTEM
  ibrav = 0, nat = 18, ntyp = 3
/
ATOMIC_SPECIES
Rb 85.47 Rb.upf
S 32.06 S.upf
Br 79.90 Br.upf
CELL_PARAMETERS angstrom
8.616 -4.441 0.000
8.616 4.441 0.000
0.000 0.000 8.899
ATOMIC_POSITIONS angstrom
Rb 0.000 0.000 0.000
Rb 6.421 3.012 5.869
Rb 6.421 1.429 1.420
Rb 10.812 3.012 5.869
Rb 10.812 1.429 1.420
Rb 8.616 0.000 4.449
Rb 6.421 -1.429 7.479
Rb 6.421 -3.012 3.030
Rb 10.812 -1.429 7.479
Rb 10.812 -3.012 3.030
S 8.616 3.304 3.309
S 8.616 1.137 7.758
S 8.616 -1.137 1.141
S 8.616 -3.304 5.590
Br 3.487 0.000 0.000
Br 5.130 0.000 4.449
Br 12.103 0.000 4.449
Br 13.746 0.000 0.000
```

***

A plane-wave DFT calculation with PBE was carried out for crystalline RbS3Br at its relaxed geometry. Values from VASP.

DFT total energy = -1.853 eV/atom
symmetry = Pm-3m, No. 221

```
&SYSTEM
  ibrav = 0, nat = 5, ntyp = 3
/
ATOMIC_SPECIES
Rb 85.47 Rb.upf
S 32.06 S.upf
Br 79.90 Br.upf
CELL_PARAMETERS angstrom
6.500 0.000 0.000
0.000 6.500 0.000
0.000 0.000 6.500
ATOMIC_POSITIONS angstrom
Rb 0.000 0.000 0.000
S 0.000 0.000 3.250
S 0.000 3.250 0.000
S 3.250 0.000 0.000
Br 3.250 3.250 3.250
```

***

A plane-wave DFT calculation with PBE was carried out for crystalline RbS3Br at its relaxed geometry. Values from VASP.

DFT total energy = -2.629 eV/atom
symmetry = Pm-3m, No. 221

```
&SYSTEM
  ibrav = 0, nat = 5, ntyp = 3
/
ATOMIC_SPECIES
Rb 85.47 Rb.upf
S 32.06 S.upf
Br 79.90 Br.upf
CELL_PARAMETERS angstrom
5.071 0.000 0.000
0.000 5.071 0.000
0.000 0.000 5.071
ATOMIC_POSITIONS angstrom
Rb 0.000 0.000 0.000
S 0.000 2.536 2.536
S 2.536 0.000 2.536
S 2.536 2.536 0.000
Br 2.536 2.536 2.536
```

***

A plane-wave DFT calculation with PBE was carried out for crystalline Rb2S5Br2 at its relaxed geometry. Values from VASP.

DFT total energy = -3.494 eV/atom
symmetry = P1, No. 1

```
&SYSTEM
  ibrav = 0, nat = 18, ntyp = 3
/
ATOMIC_SPECIES
Rb 85.47 Rb.upf
S 32.06 S.upf
Br 79.90 Br.upf
CELL_PARAMETERS angstrom
4.562 0.000 0.000
-0.944 11.390 0.000
-1.081 -4.286 12.781
ATOMIC_POSITIONS angstrom
Rb 0.000 0.000 0.000
Rb -0.959 7.667 3.379
Rb 3.487 2.963 5.705
Rb 3.495 -0.578 9.210
S -1.326 3.364 9.449
S 0.196 4.801 9.587
S 1.294 3.128 2.298
S 1.418 5.953 0.657
S 1.021 7.597 7.103
S 1.049 9.293 6.149
S 2.212 1.426 2.603
S 2.331 4.263 0.895
S 1.711 3.972 10.753
S 2.433 7.379 8.426
Br 1.177 1.089 7.342
Br 1.332 9.313 1.489
Br 1.284 5.439 4.844
Br 1.210 -2.160 11.257
```

***

A plane-wave DFT calculation with PBE was carried out for crystalline RbS2Br at its relaxed geometry. Values from VASP.

DFT total energy = -2.696 eV/atom
symmetry = R-3m, No. 166

```
&SYSTEM
  ibrav = 0, nat = 4, ntyp = 3
/
ATOMIC_SPECIES
Rb 85.47 Rb.upf
S 32.06 S.upf
Br 79.90 Br.upf
CELL_PARAMETERS angstrom
2.450 1.414 5.766
-2.450 1.414 5.766
0.000 -2.828 5.766
ATOMIC_POSITIONS angstrom
Rb 0.000 0.000 0.000
S 0.000 0.000 3.134
S 0.000 0.000 14.164
Br 0.000 0.000 8.649
```

***

A plane-wave DFT calculation with PBE was carried out for crystalline Rb3SBr6 at its relaxed geometry. Values from VASP.

DFT total energy = -2.609 eV/atom
symmetry = I4/mmm, No. 139

```
&SYSTEM
  ibrav = 0, nat = 10, ntyp = 3
/
ATOMIC_SPECIES
Rb 85.47 Rb.upf
S 32.06 S.upf
Br 79.90 Br.upf
CELL_PARAMETERS angstrom
-4.027 4.027 6.350
4.027 -4.027 6.350
4.027 4.027 -6.350
ATOMIC_POSITIONS angstrom
Rb 0.000 0.000 0.000
Rb 4.027 0.000 3.175
Rb 0.000 4.027 3.175
S 0.000 0.000 6.350
Br 0.000 0.000 3.253
Br 2.280 2.280 0.000
Br 1.747 -1.747 6.350
Br -1.747 1.747 6.350
Br 1.747 1.747 6.350
Br 0.000 0.000 9.447
```

***

A plane-wave DFT calculation with PBE was carried out for crystalline Rb6SBr4 at its relaxed geometry. Values from VASP.

DFT total energy = -2.997 eV/atom
symmetry = R-3c, No. 167

```
&SYSTEM
  ibrav = 0, nat = 22, ntyp = 3
/
ATOMIC_SPECIES
Rb 85.47 Rb.upf
S 32.06 S.upf
Br 79.90 Br.upf
CELL_PARAMETERS angstrom
6.995 4.038 5.696
-6.995 4.038 5.696
0.000 -8.077 5.696
ATOMIC_POSITIONS angstrom
Rb -6.111 -1.687 9.567
Rb -1.595 -6.136 7.521
Rb -1.595 -1.941 6.719
Rb -4.517 4.449 7.521
Rb -0.884 2.351 6.719
Rb -2.478 0.411 10.369
Rb 2.478 -0.411 6.719
Rb 0.884 -2.351 10.369
Rb 4.517 -4.449 9.567
Rb 1.595 1.941 10.369
Rb 1.595 6.136 9.567
Rb 6.111 1.687 7.521
S 0.000 0.000 0.000
S 0.000 0.000 8.544
Br -4.447 0.375 7.120
Br 0.000 0.000 4.272
Br -2.548 -3.664 9.968
Br 1.899 -4.038 7.120
Br -1.899 4.038 9.968
Br 2.548 3.664 7.120
Br 0.000 0.000 12.816
Br 4.447 -0.375 9.968
```

***

A plane-wave DFT calculation with PBE was carried out for crystalline RbS2Br at its relaxed geometry. Values from VASP.

DFT total energy = -2.667 eV/atom
symmetry = I-42d, No. 122

```
&SYSTEM
  ibrav = 0, nat = 8, ntyp = 3
/
ATOMIC_SPECIES
Rb 85.47 Rb.upf
S 32.06 S.upf
Br 79.90 Br.upf
CELL_PARAMETERS angstrom
-3.283 3.283 7.053
3.283 -3.283 7.053
3.283 3.283 -7.053
ATOMIC_POSITIONS angstrom
Rb 0.000 0.000 0.000
Rb 0.000 3.283 3.527
S 1.641 -0.644 5.290
S 2.639 1.641 1.763
S 1.641 3.926 -1.763
S 0.644 1.641 8.816
Br 3.283 0.000 3.527
Br 0.000 0.000 7.053
```

***

A plane-wave DFT calculation with PBE was carried out for crystalline RbS6Br2 at its relaxed geometry. Values from VASP.

DFT total energy = -3.305 eV/atom
symmetry = C2/m, No. 12

```
&SYSTEM
  ibrav = 0, nat = 9, ntyp = 3
/
ATOMIC_SPECIES
Rb 85.47 Rb.upf
S 32.06 S.upf
Br 79.90 Br.upf
CELL_PARAMETERS angstrom
5.295 -2.496 0.000
5.295 2.496 0.000
-0.243 0.000 10.717
ATOMIC_POSITIONS angstrom
Rb 0.000 0.000 0.000
S 3.834 1.012 6.175
S 2.768 0.000 7.726
S 6.512 1.012 4.542
S 3.834 -1.012 6.175
S 7.578 0.000 2.991
S 6.512 -1.012 4.542
Br 3.250 0.000 1.636
Br 7.096 0.000 9.081
```

***

A plane-wave DFT calculation with PBE was carried out for crystalline Rb2S2Br at its relaxed geometry. Values from VASP.

DFT total energy = -3.321 eV/atom
symmetry = P4/mbm, No. 127

```
&SYSTEM
  ibrav = 0, nat = 10, ntyp = 3
/
ATOMIC_SPECIES
Rb 85.47 Rb.upf
S 32.06 S.upf
Br 79.90 Br.upf
CELL_PARAMETERS angstrom
8.763 0.000 0.000
0.000 8.763 0.000
0.000 0.000 4.463
ATOMIC_POSITIONS angstrom
Rb 1.779 2.602 0.000
Rb 2.602 6.984 0.000
Rb 6.161 1.779 0.000
Rb 6.984 6.161 0.000
S 0.711 5.092 2.232
S 3.671 0.711 2.232
S 5.092 8.052 2.232
S 8.052 3.671 2.232
Br 0.000 0.000 2.232
Br 4.381 4.381 2.232
```

***

A plane-wave DFT calculation with PBE was carried out for crystalline Rb12S5Br3 at its relaxed geometry. Values from VASP.

DFT total energy = -2.923 eV/atom
symmetry = Ia-3d, No. 230

```
&SYSTEM
  ibrav = 0, nat = 80, ntyp = 3
/
ATOMIC_SPECIES
Rb 85.47 Rb.upf
S 32.06 S.upf
Br 79.90 Br.upf
CELL_PARAMETERS angstrom
-9.967 9.967 9.967
9.967 -9.967 9.967
9.967 9.967 -9.967
ATOMIC_POSITIONS angstrom
Rb 2.949 -0.545 1.221
Rb 12.001 6.205 -5.528
Rb 9.422 -1.221 2.949
Rb 15.495 -2.035 3.762
Rb 12.915 0.545 1.221
Rb 12.001 -3.762 5.528
Rb 1.221 2.949 -0.545
Rb 13.728 4.438 -2.035
Rb 6.205 5.528 -2.035
Rb 8.745 2.949 0.545
Rb -0.545 1.221 2.949
Rb 5.528 -2.035 6.205
Rb 9.422 8.745 -2.949
Rb 5.528 2.035 3.762
Rb 8.745 -2.949 9.422
Rb 6.205 -5.528 12.001
Rb 3.762 5.528 2.035
Rb 11.188 7.018 0.545
Rb 2.949 9.422 -1.221
Rb 12.001 3.762 4.438
Rb 5.528 12.001 -3.762
Rb 9.422 1.221 7.018
Rb 2.035 3.762 5.528
Rb 2.949 0.545 8.745
Rb 7.018 9.422 1.221
Rb 7.932 6.205 4.438
Rb 0.545 8.745 2.949
Rb 4.438 -2.035 13.728
Rb -2.035 6.205 5.528
Rb 7.018 0.545 11.188
Rb -1.221 2.949 9.422
Rb 6.205 4.438 7.932
Rb 3.762 15.495 -2.035
Rb 1.221 12.915 0.545
Rb 4.438 7.932 6.205
Rb 0.545 1.221 12.915
Rb 4.438 12.001 3.762
Rb 10.511 8.745 7.018
Rb 1.221 7.018 9.422
Rb 3.762 4.438 12.001
Rb -3.762 5.528 12.001
Rb 8.745 7.018 10.511
Rb -2.035 13.728 4.438
Rb -2.949 9.422 8.745
Rb -5.528 12.001 6.205
Rb 0.545 11.188 7.018
Rb -2.035 3.762 15.495
Rb 7.018 10.511 8.745
S 0.000 0.000 0.000
S 4.983 4.983 -4.983
S 4.983 -4.983 4.983
S 9.967 0.000 0.000
S 14.950 2.492 0.000
S 9.967 -4.983 7.475
S 7.475 9.967 -4.983
S 7.475 0.000 4.983
S 4.983 7.475 0.000
S 9.967 4.983 2.492
S -4.983 4.983 4.983
S 0.000 9.967 0.000
S 0.000 0.000 9.967
S 4.983 4.983 4.983
S 0.000 4.983 7.475
S 4.983 2.492 9.967
S 2.492 9.967 4.983
S 2.492 0.000 14.950
S 0.000 14.950 2.492
S -4.983 7.475 9.967
Br 4.983 2.492 0.000
Br 9.967 4.983 -2.492
Br 2.492 0.000 4.983
Br 12.458 0.000 4.983
Br 0.000 4.983 2.492
Br 4.983 -2.492 9.967
Br 4.983 12.458 0.000
Br 9.967 4.983 7.475
Br -2.492 9.967 4.983
Br 7.475 9.967 4.983
Br 0.000 4.983 12.458
Br 4.983 7.475 9.967
```

***

A plane-wave DFT calculation with PBE was carried out for crystalline RbS2Br at its relaxed geometry. Values from VASP.

DFT total energy = -2.330 eV/atom
symmetry = Fm-3m, No. 225

```
&SYSTEM
  ibrav = 0, nat = 4, ntyp = 3
/
ATOMIC_SPECIES
Rb 85.47 Rb.upf
S 32.06 S.upf
Br 79.90 Br.upf
CELL_PARAMETERS angstrom
0.000 3.907 3.907
3.907 0.000 3.907
3.907 3.907 0.000
ATOMIC_POSITIONS angstrom
Rb 0.000 0.000 0.000
S 1.953 1.953 1.953
S 5.860 5.860 5.860
Br 3.907 3.907 3.907
```

***

A plane-wave DFT calculation with PBE was carried out for crystalline RbSbSBr2 at its relaxed geometry. Values from VASP.

DFT total energy = -3.315 eV/atom
symmetry = P4/mmm, No. 123

```
&SYSTEM
  ibrav = 0, nat = 5, ntyp = 4
/
ATOMIC_SPECIES
Rb 85.47 Rb.upf
Sb 121.76 Sb.upf
S 32.06 S.upf
Br 79.90 Br.upf
CELL_PARAMETERS angstrom
5.825 0.000 0.000
0.000 5.825 0.000
0.000 0.000 5.099
ATOMIC_POSITIONS angstrom
Rb 0.000 0.000 0.000
Sb 2.912 2.912 2.549
S 2.912 2.912 0.000
Br 0.000 2.912 2.549
Br 2.912 0.000 2.549
```

***

A plane-wave DFT calculation with PBE was carried out for crystalline Rb2SbS2Br2 at its relaxed geometry. Values from VASP.

DFT total energy = -3.456 eV/atom
symmetry = I4/mmm, No. 139

```
&SYSTEM
  ibrav = 0, nat = 7, ntyp = 4
/
ATOMIC_SPECIES
Rb 85.47 Rb.upf
Sb 121.76 Sb.upf
S 32.06 S.upf
Br 79.90 Br.upf
CELL_PARAMETERS angstrom
-2.577 2.577 8.952
2.577 -2.577 8.952
2.577 2.577 -8.952
ATOMIC_POSITIONS angstrom
Rb 0.000 0.000 2.442
Rb 0.000 0.000 15.463
Sb 0.000 0.000 8.952
S 2.577 0.000 0.000
S 0.000 2.577 0.000
Br 0.000 0.000 6.042
Br 0.000 0.000 11.863
```

***

A plane-wave DFT calculation with PBE was carried out for crystalline Rb5SbS4Br2 at its relaxed geometry. Values from VASP.

DFT total energy = -3.545 eV/atom
symmetry = Amm2, No. 38

```
&SYSTEM
  ibrav = 0, nat = 12, ntyp = 4
/
ATOMIC_SPECIES
Rb 85.47 Rb.upf
Sb 121.76 Sb.upf
S 32.06 S.upf
Br 79.90 Br.upf
CELL_PARAMETERS angstrom
10.168 0.000 0.000
0.000 5.828 4.066
0.000 -5.828 4.066
ATOMIC_POSITIONS angstrom
Rb 0.000 0.000 0.000
Rb 2.730 -2.276 3.854
Rb 2.730 2.276 3.854
Rb 7.437 -2.276 3.854
Rb 7.437 2.276 3.854
Sb 5.084 0.000 7.787
S 3.156 0.000 1.032
S 5.084 -1.882 6.349
S 5.084 1.882 6.349
S 7.012 0.000 1.032
Br 0.000 -2.642 5.923
Br 0.000 2.642 5.923
```

***

A plane-wave DFT calculation with PBE was carried out for crystalline Rb2ScSBr6 at its relaxed geometry. Values from VASP.

DFT total energy = -3.397 eV/atom
symmetry = I4/mmm, No. 139

```
&SYSTEM
  ibrav = 0, nat = 10, ntyp = 4
/
ATOMIC_SPECIES
Rb 85.47 Rb.upf
Sc 44.96 Sc.upf
S 32.06 S.upf
Br 79.90 Br.upf
CELL_PARAMETERS angstrom
-3.782 3.782 6.265
3.782 -3.782 6.265
3.782 3.782 -6.265
ATOMIC_POSITIONS angstrom
Rb 3.782 0.000 3.132
Rb 0.000 3.782 3.132
Sc 0.000 0.000 0.000
S 0.000 0.000 6.265
Br 0.000 0.000 2.634
Br 1.899 1.899 0.000
Br 1.883 -1.883 6.265
Br -1.883 1.883 6.265
Br 1.883 1.883 6.265
Br 0.000 0.000 9.896
```

***

A plane-wave DFT calculation with PBE was carried out for crystalline Rb5SiS4Br2 at its relaxed geometry. Values from VASP.

DFT total energy = -3.716 eV/atom
symmetry = Amm2, No. 38

```
&SYSTEM
  ibrav = 0, nat = 12, ntyp = 4
/
ATOMIC_SPECIES
Rb 85.47 Rb.upf
Si 28.09 Si.upf
S 32.06 S.upf
Br 79.90 Br.upf
CELL_PARAMETERS angstrom
10.043 0.000 0.000
0.000 5.560 4.027
0.000 -5.560 4.027
ATOMIC_POSITIONS angstrom
Rb 0.000 0.000 0.000
Rb 2.732 -2.229 3.647
Rb 2.732 2.229 3.647
Rb 7.311 -2.229 3.647
Rb 7.311 2.229 3.647
Si 5.021 0.000 7.807
S 3.257 0.000 0.908
S 5.021 -1.443 6.177
S 5.021 1.443 6.177
S 6.786 0.000 0.908
Br 0.000 -2.465 5.702
Br 0.000 2.465 5.702
```